Compound: HoScSnC
Source: OQMD via LeMat-Bulk
Functional: GGA-PBE
Structure: optimized geometry

Values from the calculation:
Its spin magnetization is 0.01 μB per formula unit. The space group is P-6m2. As for the total energy: -53.05 eV per cell.

a b c (Å): 3.4872 3.4872 15.3720
angles (deg): 90.00 90.00 120.00
Last column: nearest neighbours and their distance in Å.
Sites, in units of the cell vectors:
Ho (0.6667, 0.3333, 0.6720)  3 C 2.42
Sn (0.6667, 0.3333, 0.0000)  6 Sc 3.21, 6 Sn 3.49
Sc (0.3333, 0.6667, 0.8376)  3 C 2.34
C (0.0000, 0.0000, 0.7598)  3 Sc 2.34, 3 Ho 2.42
C (0.0000, 0.0000, 0.2402)  3 Sc 2.34, 3 Ho 2.42
Sc (0.3333, 0.6667, 0.1624)  3 C 2.34
Sn (0.3333, 0.6667, 0.5000)  6 Ho 3.32, 6 Sn 3.49
Ho (0.6667, 0.3333, 0.3280)  3 C 2.42



Compound: Cu2Ag3
Source: OQMD via LeMat-Bulk
Functional: GGA-PBE
Structure: optimized geometry

Values from the calculation:
The energy relative to the elements comes out at 85.6 meV/atom. The space group is P2_1/m.

a b c (Å): 6.8640 2.8422 8.1774
angles (deg): 90.00 102.85 90.00
Last column: nearest neighbours and their distance in Å.
Sites, in units of the cell vectors:
Ag (0.2545, 0.7500, 0.2697)  5 Cu 2.62-2.78, 6 Ag 2.84-2.89
Ag (0.9222, 0.2500, 0.3516)  3 Cu 2.69-2.76, 8 Ag 2.81-2.89
Ag (0.0778, 0.7500, 0.6484)  3 Cu 2.69-2.76, 8 Ag 2.81-2.89
Cu (0.3729, 0.2500, 0.5619)  5 Ag 2.62-2.74, 6 Cu 2.62-2.84
Ag (0.1678, 0.2500, 0.9569)  3 Cu 2.70-2.74, 8 Ag 2.84-2.92
Cu (0.4578, 0.7500, 0.8498)  6 Cu 2.70-2.84, 6 Ag 2.70-2.78
Cu (0.5422, 0.2500, 0.1502)  6 Cu 2.70-2.84, 6 Ag 2.70-2.78
Ag (0.8322, 0.7500, 0.0431)  3 Cu 2.70-2.74, 8 Ag 2.84-2.92
Ag (0.7455, 0.2500, 0.7303)  5 Cu 2.62-2.78, 6 Ag 2.84-2.89
Cu (0.6271, 0.7500, 0.4381)  5 Ag 2.62-2.74, 6 Cu 2.62-2.84



Compound: Zr2In2Cu2NiPd
Source: OQMD via LeMat-Bulk
Functional: GGA-PBE
Structure: optimized geometry

Values from the calculation:
Its spin magnetization is 0.00 μB per formula unit. The space group is P-4m2. As for the total energy: -44.02 eV per cell.

a b c (Å): 4.5373 4.5373 6.5008
angles (deg): 90.00 90.00 90.00
Last column: nearest neighbours and their distance in Å.
Sites, in units of the cell vectors:
In (0.5000, 0.0000, 0.2555)  4 Cu 2.77-2.81, 2 Ni 2.77, 2 Pd 2.81
Zr (0.5000, 0.0000, 0.7398)  4 Cu 2.75-2.83, 2 Ni 2.75, 2 Pd 2.83
Cu (0.0000, 0.0000, 0.0000)  4 In 2.81, 4 Zr 2.83
Zr (0.0000, 0.5000, 0.2602)  2 Ni 2.75, 4 Cu 2.75-2.83, 2 Pd 2.83
In (0.0000, 0.5000, 0.7445)  2 Ni 2.77, 4 Cu 2.77-2.81, 2 Pd 2.81
Ni (0.0000, 0.0000, 0.5000)  4 Zr 2.75, 4 In 2.77
Cu (0.5000, 0.5000, 0.5000)  4 Zr 2.75, 4 In 2.77
Pd (0.5000, 0.5000, 0.0000)  4 In 2.81, 4 Zr 2.83



Compound: ZrBePO
Source: OQMD via LeMat-Bulk
Functional: GGA-PBE
Structure: optimized geometry

Values from the calculation:
Its spin magnetization is 0.02 μB per formula unit. The space group is P4/nmm. As for the total energy: -56.83 eV per cell.

a b c (Å): 3.5652 3.5652 7.9977
angles (deg): 90.00 90.00 90.00
Last column: nearest neighbours and their distance in Å.
Sites, in units of the cell vectors:
Be (0.5000, 0.5000, 0.5000)  4 P 2.24
O (0.0000, 0.0000, 0.0000)  4 Zr 2.18
Zr (0.0000, 0.5000, 0.1564)  4 O 2.18
Be (0.0000, 0.0000, 0.5000)  4 P 2.24
P (0.0000, 0.5000, 0.6698)  4 Be 2.24
P (0.5000, 0.0000, 0.3302)  4 Be 2.24
Zr (0.5000, 0.0000, 0.8436)  4 O 2.18
O (0.5000, 0.5000, 0.0000)  4 Zr 2.18



Compound: TbAgSnS3
Source: OQMD via LeMat-Bulk
Functional: GGA-PBE
Structure: optimized geometry

Values from the calculation:
Its spin magnetization is 0.00 μB per formula unit. The space group is C2/m. As for the total energy: -59.42 eV per cell.

a b c (Å): 8.8980 8.8980 8.3297
angles (deg): 103.66 103.66 25.48
Last column: nearest neighbours and their distance in Å.
Sites, in units of the cell vectors:
S (0.3163, 0.3163, 0.6735)  1 Ag 2.64, 2 Tb 2.74
S (0.0000, 0.0000, 0.0000)  4 Ag 2.62, 2 Tb 2.77
S (0.5000, 0.5000, 0.5000)  2 Ag 2.53
S (0.6716, 0.6716, 0.8565)  3 Tb 2.77-2.79, 2 Sn 3.00
S (0.3284, 0.3284, 0.1435)  3 Tb 2.77-2.79, 2 Sn 3.00
Ag (0.5277, 0.5277, 0.2155)  4 S 2.53-2.64
Ag (0.4723, 0.4723, 0.7845)  4 S 2.53-2.64
Tb (0.8353, 0.8353, 0.9096)  6 S 2.74-2.79
Tb (0.1647, 0.1647, 0.0904)  6 S 2.74-2.79
Sn (0.8674, 0.8674, 0.4237)  7 S 2.97-3.14
S (0.6837, 0.6837, 0.3265)  1 Ag 2.64, 2 Tb 2.74
Sn (0.1326, 0.1326, 0.5763)  7 S 2.97-3.14



Compound: CsTmCoS3
Source: OQMD via LeMat-Bulk
Functional: GGA-PBE
Structure: optimized geometry

Values from the calculation:
Its spin magnetization is 3.00 μB per formula unit. The space group is Pnma. As for the total energy: -130.49 eV per cell.

a b c (Å): 10.3622 3.9217 15.4591
angles (deg): 90.00 90.00 90.00
Last column: nearest neighbours and their distance in Å.
Sites, in units of the cell vectors:
S (0.0558, 0.7500, 0.3627)  1 Co 2.26
Cs (0.7523, 0.7500, 0.4871)  8 S 3.53-3.88, 2 Cs 3.92
S (0.9442, 0.2500, 0.6373)  1 Co 2.26
S (0.5720, 0.2500, 0.6381)  1 Co 2.26
S (0.7412, 0.2500, 0.2975)  2 Co 2.35
Co (0.2414, 0.7500, 0.2864)  4 S 2.26-2.35
Co (0.7586, 0.2500, 0.7136)  4 S 2.26-2.35
Tm (0.5086, 0.7500, 0.7503)  6 S 2.69-2.70
S (0.5558, 0.7500, 0.1373)  1 Co 2.26
Tm (0.9914, 0.2500, 0.2503)  6 S 2.69-2.70
S (0.9280, 0.7500, 0.1381)  1 Co 2.26
Cs (0.2523, 0.7500, 0.0129)  8 S 3.53-3.88, 2 Cs 3.92
S (0.4280, 0.7500, 0.3619)  1 Co 2.26
Tm (0.0086, 0.7500, 0.7497)  6 S 2.69-2.70
S (0.2412, 0.2500, 0.2025)  2 Co 2.35
Cs (0.2477, 0.2500, 0.5129)  8 S 3.53-3.88, 2 Cs 3.92
S (0.7588, 0.7500, 0.7975)  2 Co 2.35
Tm (0.4914, 0.2500, 0.2497)  6 S 2.69-2.70
S (0.0720, 0.2500, 0.8619)  1 Co 2.26
Co (0.7414, 0.7500, 0.2136)  4 S 2.26-2.35
S (0.2588, 0.7500, 0.7025)  2 Co 2.35
Cs (0.7477, 0.2500, 0.9871)  8 S 3.53-3.88, 2 Cs 3.92
S (0.4442, 0.2500, 0.8627)  1 Co 2.26
Co (0.2586, 0.2500, 0.7864)  4 S 2.26-2.35



Going through the records in order, we get V values of 162 156 134 102 275 628 Å³/cell.
Going through the records in order, we get ρ values of 6987 9624 8739 4809 5812 4832 kg/m³.